(1)
This record from Alexandria via LeMat-Bulk describes a relaxed structure of VGe2Ru2. The functional is PBE.

abc: 7.0924 7.0924 2.8862
angles: 90.00 90.00 90.00
Closest atoms and distances in Å follow each position.
Positions (direct):
Ru 0.1501 0.6501 0.5000  6 Ge 2.48-2.57
Ru 0.6501 0.8499 0.5000  6 Ge 2.48-2.57
Ru 0.8499 0.3499 0.5000  6 Ge 2.48-2.57
Ru 0.3499 0.1501 0.5000  6 Ge 2.48-2.57
Ge 0.3508 0.8508 0.0000  6 Ru 2.48-2.57, 2 V 2.70
Ge 0.8508 0.6492 0.0000  6 Ru 2.48-2.57, 2 V 2.70
Ge 0.6492 0.1492 0.0000  6 Ru 2.48-2.57, 2 V 2.70
Ge 0.1492 0.3508 0.0000  6 Ru 2.48-2.57, 2 V 2.70
V 0.0000 0.0000 0.0000  4 Ge 2.70, 2 V 2.89
V 0.5000 0.5000 0.0000  4 Ge 2.70, 2 V 2.89

N(E_F): 5.81 states/eV/f.u.
E_tot: -74.73 eV for the cell shown
ΔH_f (0 K): -0.092 eV per atom
size of the total moment: 0.22 μB per cell

(2)
This record from Alexandria via LeMat-Bulk describes a relaxed structure of VGe2Ru3. The functional is PBE.

abc: 3.0237 3.0237 9.1133
angles: 90.00 90.00 90.00
Closest atoms and distances in Å follow each position.
Positions (direct):
V 0.5000 0.5000 0.5000  8 Ru 2.63
Ge 0.5000 0.5000 0.8323  8 Ru 2.61-2.63
Ge 0.5000 0.5000 0.1677  8 Ru 2.61-2.63
Ru 0.0000 0.0000 0.0000  8 Ge 2.63
Ru 0.0000 0.0000 0.6685  4 Ge 2.61, 4 V 2.63
Ru 0.0000 0.0000 0.3315  4 Ge 2.61, 4 V 2.63

N(E_F): 2.19 states/eV/f.u.
E_tot: -47.84 eV for the cell shown
ΔH_f (0 K): -0.276 eV per atom
size of the total moment: 0.93 μB per cell

(3)
This record from Alexandria via LeMat-Bulk describes a relaxed structure of V3GeRu. The functional is PBE.

abc: 4.5239 4.5239 4.5239
angles: 90.00 90.00 90.00
Closest atoms and distances in Å follow each position.
Positions (direct):
Ru 0.0000 0.0000 0.0000  6 V 2.26
Ge 0.5000 0.5000 0.5000  12 V 3.20
V 0.0000 0.5000 0.0000  2 Ru 2.26
V 0.0000 0.0000 0.5000  2 Ru 2.26
V 0.5000 0.0000 0.0000  2 Ru 2.26

N(E_F): 5.92 states/eV/f.u.
E_tot: -36.45 eV for the cell shown
energy above the lowest structure with this stoichiometry: 5.08 eV per formula unit
ΔH_f (0 K): 0.959 eV per atom
size of the total moment: 1.21 μB per cell

(4)
This record from Alexandria via LeMat-Bulk describes a relaxed structure of V5Ge6Ru. The functional is PBE.

abc: 4.2140 7.5422 7.6908
angles: 60.64 74.08 55.99
Closest atoms and distances in Å follow each position.
Positions (direct):
V 0.5000 0.1659 0.6681  8 Ge 2.61-2.77
V 0.0000 0.3344 0.3313  8 Ge 2.64-2.75
V 0.5000 0.5000 0.0000  8 Ge 2.65-2.72
V 0.0000 0.6656 0.6687  8 Ge 2.64-2.75
V 0.5000 0.8341 0.3319  8 Ge 2.61-2.77
Ge 0.7534 0.0819 0.3295  7 V 2.61-2.77, 1 Ru 2.69
Ge 0.2466 0.5886 0.3295  7 V 2.61-2.77, 1 Ru 2.69
Ge 0.2562 0.2438 0.0000  2 Ru 2.60, 6 V 2.65-2.74
Ge 0.7438 0.7562 0.0000  2 Ru 2.60, 6 V 2.65-2.74
Ge 0.7534 0.4114 0.6705  7 V 2.61-2.77, 1 Ru 2.69
Ge 0.2466 0.9181 0.6705  7 V 2.61-2.77, 1 Ru 2.69
Ru 0.0000 0.0000 0.0000  8 Ge 2.60-2.69

N(E_F): 7.03 states/eV/f.u.
E_tot: -83.40 eV for the cell shown
ΔH_f (0 K): -0.069 eV per atom
size of the total moment: 2.52 μB per cell

(5)
This record from Alexandria via LeMat-Bulk describes a relaxed structure of V4GeRu. The functional is PBE.

abc: 4.9018 6.1434 6.8854
angles: 116.49 107.19 90.00
Closest atoms and distances in Å follow each position.
Positions (direct):
V 0.1656 0.6899 0.3799  2 V 2.43, 1 Ru 2.55, 2 Ge 2.55-2.57
V 0.3804 0.0834 0.7171  1 V 2.43, 1 Ru 2.50, 2 Ge 2.61-2.64
V 0.0000 0.1735 0.0000  1 V 2.13, 2 Ge 2.39
V 0.6196 0.3664 0.2829  1 V 2.43, 1 Ru 2.50, 2 Ge 2.61-2.64
V 0.8344 0.3101 0.6201  2 V 2.43, 1 Ru 2.55, 2 Ge 2.55-2.57
V 0.6196 0.9166 0.2829  1 V 2.43, 1 Ru 2.50, 2 Ge 2.61-2.64
V 0.0000 0.8265 0.0000  1 V 2.13, 2 Ge 2.39
V 0.3804 0.6336 0.7171  1 V 2.43, 1 Ru 2.50, 2 Ge 2.61-2.64
Ge 0.2630 0.4988 0.9976  2 Ge 2.31-2.59, 4 V 2.39-2.57
Ge 0.7370 0.5012 0.0024  2 Ge 2.31-2.59, 4 V 2.39-2.57
Ru 0.8026 0.7977 0.5955  7 V 2.50-2.79
Ru 0.1974 0.2023 0.4045  7 V 2.50-2.79

N(E_F): 7.15 states/eV/f.u.
E_tot: -99.37 eV for the cell shown
ΔH_f (0 K): 0.114 eV per atom
size of the total moment: 0.00 μB per cell

(6)
This record from Alexandria via LeMat-Bulk describes a relaxed structure of V4GeRu5. The functional is PBE.

abc: 3.0024 3.0024 15.1684
angles: 90.00 90.00 90.00
Closest atoms and distances in Å follow each position.
Positions (direct):
V 0.0000 0.0000 0.2012  8 Ru 2.63-2.64
V 0.0000 0.0000 0.3990  8 Ru 2.56-2.62
V 0.0000 0.0000 0.6010  8 Ru 2.56-2.62
V 0.0000 0.0000 0.7988  8 Ru 2.63-2.64
Ge 0.0000 0.0000 0.0000  8 Ru 2.60
Ru 0.5000 0.5000 0.0987  4 Ge 2.60, 4 V 2.63
Ru 0.5000 0.5000 0.3043  8 V 2.56-2.64
Ru 0.5000 0.5000 0.5000  8 V 2.62
Ru 0.5000 0.5000 0.6957  8 V 2.56-2.64
Ru 0.5000 0.5000 0.9013  4 Ge 2.60, 4 V 2.63

N(E_F): 11.45 states/eV/f.u.
E_tot: -90.02 eV for the cell shown
ΔH_f (0 K): -0.255 eV per atom
size of the total moment: 0.00 μB per cell

(7)
This record from Alexandria via LeMat-Bulk describes a relaxed structure of V3GeRu. The functional is PBE.

abc: 4.1769 5.1477 6.8246
angles: 90.00 107.82 90.00
Closest atoms and distances in Å follow each position.
Positions (direct):
V 0.9002 0.9885 0.8001  3 V 2.46-2.69, 2 Ge 2.74
V 0.0998 0.0115 0.1999  3 V 2.46-2.69, 2 Ge 2.74
V 0.9002 0.5115 0.8001  3 V 2.46-2.69, 2 Ge 2.74
V 0.0998 0.4885 0.1999  3 V 2.46-2.69, 2 Ge 2.74
V 0.2944 0.7500 0.5900  4 Ru 2.46-2.58, 1 Ge 2.65
V 0.7056 0.2500 0.4100  4 Ru 2.46-2.58, 1 Ge 2.65
Ge 0.4991 0.7500 0.9980  1 Ru 2.54, 2 Ge 2.57, 9 V 2.65-2.81
Ge 0.5009 0.2500 0.0020  1 Ru 2.54, 2 Ge 2.57, 9 V 2.65-2.81
Ru 0.6943 0.7500 0.3894  4 V 2.46-2.58, 1 Ge 2.54
Ru 0.3057 0.2500 0.6106  4 V 2.46-2.58, 1 Ge 2.54

N(E_F): 6.42 states/eV/f.u.
E_tot: -83.07 eV for the cell shown
energy above the lowest structure with this stoichiometry: 0.00 eV per formula unit
ΔH_f (0 K): -0.057 eV per atom
size of the total moment: 0.00 μB per cell

(8)
This record from Alexandria via LeMat-Bulk describes a relaxed structure of VGeRu. The functional is PBE.

abc: 2.8033 4.2010 4.2010
angles: 120.00 90.00 90.00
Closest atoms and distances in Å follow each position.
Positions (direct):
Ru 0.1665 0.0000 0.0000  3 Ge 2.43
Ge 0.1670 0.6667 0.3333  3 Ru 2.43
V 0.6666 0.3333 0.6667  6 Ge 2.80, 6 Ru 2.80, 2 V 2.80

N(E_F): 1.94 states/eV/f.u.
E_tot: -23.73 eV for the cell shown
ΔH_f (0 K): -0.241 eV per atom
size of the total moment: 0.00 μB per cell

(9)
This record from Alexandria via LeMat-Bulk describes a relaxed structure of V12Ge6Ru. The functional is PBE.

abc: 7.1181 7.1181 7.1181
angles: 110.73 110.73 110.73
Closest atoms and distances in Å follow each position.
Positions (direct):
V 0.7938 0.6730 0.5262  4 Ge 2.55-2.80, 6 V 2.62-2.72, 1 Ru 2.73
V 0.5262 0.7938 0.6730  4 Ge 2.55-2.80, 6 V 2.62-2.72, 1 Ru 2.73
V 0.6730 0.5262 0.7938  4 Ge 2.55-2.80, 6 V 2.62-2.72, 1 Ru 2.73
V 0.2062 0.3270 0.4738  4 Ge 2.55-2.80, 6 V 2.62-2.72, 1 Ru 2.73
V 0.4738 0.2062 0.3270  4 Ge 2.55-2.80, 6 V 2.62-2.72, 1 Ru 2.73
V 0.3270 0.4738 0.2062  4 Ge 2.55-2.80, 6 V 2.62-2.72, 1 Ru 2.73
V 0.8917 0.8154 0.2608  5 Ge 2.59-2.75, 5 V 2.62-2.82, 1 Ru 2.79
V 0.1846 0.7392 0.1083  5 Ge 2.59-2.75, 5 V 2.62-2.82, 1 Ru 2.79
V 0.7392 0.1083 0.1846  5 Ge 2.59-2.75, 5 V 2.62-2.82, 1 Ru 2.79
V 0.1083 0.1846 0.7392  5 Ge 2.59-2.75, 5 V 2.62-2.82, 1 Ru 2.79
V 0.8154 0.2608 0.8917  5 Ge 2.59-2.75, 5 V 2.62-2.82, 1 Ru 2.79
V 0.2608 0.8917 0.8154  5 Ge 2.59-2.75, 5 V 2.62-2.82, 1 Ru 2.79
Ge 0.6461 0.9334 0.4265  9 V 2.55-2.80, 2 Ge 2.78
Ge 0.5735 0.3539 0.0666  9 V 2.55-2.80, 2 Ge 2.78
Ge 0.0666 0.5735 0.3539  9 V 2.55-2.80, 2 Ge 2.78
Ge 0.3539 0.0666 0.5735  9 V 2.55-2.80, 2 Ge 2.78
Ge 0.4265 0.6461 0.9334  9 V 2.55-2.80, 2 Ge 2.78
Ge 0.9334 0.4265 0.6461  9 V 2.55-2.80, 2 Ge 2.78
Ru 0.0000 0.0000 0.0000  12 V 2.73-2.79

N(E_F): 15.43 states/eV/f.u.
E_tot: -149.42 eV for the cell shown
ΔH_f (0 K): -0.159 eV per atom
size of the total moment: 0.00 μB per cell

(10)
This record from Alexandria via LeMat-Bulk describes a relaxed structure of VGeRu. The functional is PBE.

abc: 4.3358 8.9351 4.2812
angles: 90.00 90.00 90.00
Closest atoms and distances in Å follow each position.
Positions (direct):
Ru 0.0000 0.9003 0.2500  4 Ge 2.53-2.55, 2 V 2.66, 2 Ru 2.79
Ru 0.0000 0.0997 0.7500  4 Ge 2.53-2.55, 2 V 2.66, 2 Ru 2.79
Ru 0.5000 0.4003 0.2500  4 Ge 2.53-2.55, 2 V 2.66, 2 Ru 2.79
Ru 0.5000 0.5997 0.7500  4 Ge 2.53-2.55, 2 V 2.66, 2 Ru 2.79
Ge 0.0000 0.2510 0.2500  4 Ru 2.53-2.55, 4 V 2.65-2.69
Ge 0.0000 0.7490 0.7500  4 Ru 2.53-2.55, 4 V 2.65-2.69
Ge 0.5000 0.7510 0.2500  4 Ru 2.53-2.55, 4 V 2.65-2.69
Ge 0.5000 0.2490 0.7500  4 Ru 2.53-2.55, 4 V 2.65-2.69
V 0.0000 0.5733 0.2500  2 V 2.51, 4 Ge 2.65-2.69, 2 Ru 2.66
V 0.0000 0.4267 0.7500  2 V 2.51, 4 Ge 2.65-2.69, 2 Ru 2.66
V 0.5000 0.0733 0.2500  2 V 2.51, 4 Ge 2.65-2.69, 2 Ru 2.66
V 0.5000 0.9267 0.7500  2 V 2.51, 4 Ge 2.65-2.69, 2 Ru 2.66

N(E_F): 2.68 states/eV/f.u.
E_tot: -95.10 eV for the cell shown
ΔH_f (0 K): -0.255 eV per atom
size of the total moment: 0.00 μB per cell

(11)
This record from Alexandria via LeMat-Bulk describes a relaxed structure of VGeRu. The functional is PBE.

abc: 2.8755 3.7142 7.8471
angles: 90.00 90.00 90.00
Closest atoms and distances in Å follow each position.
Positions (direct):
Ru 0.0000 0.0000 0.5193  5 V 2.58-2.70, 5 Ge 2.64-2.67, 2 Ru 2.88
Ru 0.5000 0.5000 0.0193  5 V 2.58-2.70, 5 Ge 2.64-2.67, 2 Ru 2.88
Ge 0.0000 0.0000 0.8562  5 V 2.62-2.69, 5 Ru 2.64-2.67, 2 Ge 2.88
Ge 0.5000 0.5000 0.3562  5 V 2.62-2.69, 5 Ru 2.64-2.67, 2 Ge 2.88
V 0.0000 0.0000 0.1902  5 Ru 2.58-2.70, 5 Ge 2.62-2.69, 2 V 2.88
V 0.5000 0.5000 0.6902  5 Ru 2.58-2.70, 5 Ge 2.62-2.69, 2 V 2.88

N(E_F): 2.46 states/eV/f.u.
E_tot: -47.33 eV for the cell shown
ΔH_f (0 K): -0.218 eV per atom
size of the total moment: 0.00 μB per cell

(12)
This record from Alexandria via LeMat-Bulk describes a relaxed structure of V3GeRu6. The functional is PBE.

abc: 4.3153 7.3105 9.2924
angles: 109.41 90.00 90.00
Closest atoms and distances in Å follow each position.
Positions (direct):
V 0.2500 0.5280 0.3814  9 Ru 2.53-2.83
V 0.7500 0.4720 0.6186  9 Ru 2.53-2.83
V 0.2500 0.3769 0.7978  8 Ru 2.53-2.67
V 0.7500 0.6231 0.2022  8 Ru 2.53-2.67
V 0.2500 0.7869 0.9899  11 Ru 2.56-2.86
V 0.7500 0.2131 0.0101  11 Ru 2.56-2.86
Ge 0.2500 0.9505 0.5883  8 Ru 2.46-2.65
Ge 0.7500 0.0495 0.4117  8 Ru 2.46-2.65
Ru 0.2500 0.4530 0.0845  6 V 2.53-2.72, 1 Ru 2.61
Ru 0.7500 0.5470 0.9155  6 V 2.53-2.72, 1 Ru 2.61
Ru 0.2500 0.1464 0.1696  4 V 2.60-2.83, 7 Ru 2.61-2.88
Ru 0.7500 0.8536 0.8304  4 V 2.60-2.83, 7 Ru 2.61-2.88
Ru 0.2500 0.6642 0.6803  1 Ge 2.51, 5 V 2.53-2.71, 2 Ru 2.69
Ru 0.7500 0.3358 0.3197  1 Ge 2.51, 5 V 2.53-2.71, 2 Ru 2.69
Ru 0.2500 0.2556 0.5035  4 V 2.58-2.68, 3 Ge 2.60-2.61
Ru 0.7500 0.7444 0.4965  4 V 2.58-2.68, 3 Ge 2.60-2.61
Ru 0.2500 0.8406 0.3002  3 Ge 2.53-2.65, 4 V 2.63-2.78
Ru 0.7500 0.1594 0.6998  3 Ge 2.53-2.65, 4 V 2.63-2.78
Ru 0.2500 0.0701 0.8688  1 Ge 2.46, 4 V 2.54-2.66, 3 Ru 2.63-2.66
Ru 0.7500 0.9299 0.1312  1 Ge 2.46, 4 V 2.54-2.66, 3 Ru 2.63-2.66

N(E_F): 7.80 states/eV/f.u.
E_tot: -179.66 eV for the cell shown
ΔH_f (0 K): -0.220 eV per atom
size of the total moment: 0.00 μB per cell